PBE with a Hubbard U NiRhI2O, relaxed; symmetry = P4/mmm, No. 123; relative energy among the computed polymorphs = 29.4 kJ per mole of atoms; V = 20.20 A^3/atom; uncorrected energy = -3.132 eV/atom
1.0
5.374 0.000 0.000
0.000 5.374 0.000
0.000 0.000 3.497
I Ni Rh O
2 1 1 1
Direct
0.000 0.500 0.000
0.500 0.000 0.000
0.000 0.000 0.000
0.500 0.500 0.500
0.000 0.000 0.500